No. 1
Computed, not measured: crystalline HIrRuRh2 at its relaxed geometry at the PBE-GGA level of DFT.

CIF file:
```
data_HIrRuRh2
_chemical_formula_sum 'H1 Ir1 Ru1 Rh2'
_cell_length_a 3.8967
_cell_length_b 3.8967
_cell_length_c 3.9092
_cell_angle_alpha 90.00
_cell_angle_beta 90.00
_cell_angle_gamma 90.00
_symmetry_space_group_name_H-M 'P 1'
_symmetry_Int_Tables_number 1
_symmetry_space_group_name_Hall 'P 1'
loop_
_atom_site_label
_atom_site_type_symbol
_atom_site_fract_x
_atom_site_fract_y
_atom_site_fract_z
_atom_site_occupancy
H1 H 0.0000 0.0000 0.0000 1
Ir1 Ir 0.0000 0.0000 0.5000 1
Ru1 Ru 0.5000 0.5000 0.5000 1
Rh1 Rh 0.0000 0.5000 0.0000 1
Rh2 Rh 0.5000 0.0000 0.0000 1
```

DOS(E_F): 5.041 states/eV/cell
Energy relative to the lowest polymorph listed for this composition: 0.0455 eV per atom
Uncorrected energy: -35.6 eV for the cell shown
Crystal system: tetragonal
Magnetization: 0.000 μB per cell

***

No. 2
Computed, not measured: crystalline SbHIrRh2 at its relaxed geometry at the PBE-GGA level of DFT.

CIF file:
```
data_SbHIrRh2
_chemical_formula_sum 'Sb1 H1 Ir1 Rh2'
_cell_length_a 4.0233
_cell_length_b 4.0233
_cell_length_c 4.0137
_cell_angle_alpha 90.00
_cell_angle_beta 90.00
_cell_angle_gamma 90.00
_symmetry_space_group_name_H-M 'P 1'
_symmetry_Int_Tables_number 1
_symmetry_space_group_name_Hall 'P 1'
loop_
_atom_site_label
_atom_site_type_symbol
_atom_site_fract_x
_atom_site_fract_y
_atom_site_fract_z
_atom_site_occupancy
Sb1 Sb 0.0000 0.0000 0.0000 1
H1 H 0.5000 0.5000 0.5000 1
Ir1 Ir 0.5000 0.5000 0.0000 1
Rh1 Rh 0.0000 0.5000 0.5000 1
Rh2 Rh 0.5000 0.0000 0.5000 1
```

DOS(E_F): 2.639 states/eV/cell
Uncorrected energy: -31.7 eV for the cell shown
Crystal system: tetragonal
Magnetization: 0.000 μB per cell

***

No. 3
Computed, not measured: crystalline SbHIr2Rh at its relaxed geometry at the PBE-GGA level of DFT.

CIF file:
```
data_SbHIr2Rh
_chemical_formula_sum 'Sb1 H1 Ir2 Rh1'
_cell_length_a 4.0311
_cell_length_b 4.0311
_cell_length_c 4.0379
_cell_angle_alpha 90.00
_cell_angle_beta 90.00
_cell_angle_gamma 90.00
_symmetry_space_group_name_H-M 'P 1'
_symmetry_Int_Tables_number 1
_symmetry_space_group_name_Hall 'P 1'
loop_
_atom_site_label
_atom_site_type_symbol
_atom_site_fract_x
_atom_site_fract_y
_atom_site_fract_z
_atom_site_occupancy
Sb1 Sb 0.0000 0.0000 0.0000 1
H1 H 0.5000 0.5000 0.5000 1
Ir1 Ir 0.0000 0.5000 0.5000 1
Ir2 Ir 0.5000 0.0000 0.5000 1
Rh1 Rh 0.5000 0.5000 0.0000 1
```

DOS(E_F): 2.477 states/eV/cell
Uncorrected energy: -32.4 eV for the cell shown
Crystal system: tetragonal
Magnetization: 0.000 μB per cell